1.
VASP calculation (PBEsol) on a relaxed structure of ScCuTe2.

Summary:
E_tot, eV per atom: -5.21
ρ, g/cm3: 6.71
D(E_F), states/eV/cell: 0.94
Symmetry: Amm2

Structure (POSCAR):
```
ScCuTe2
1.0
3.8210 0.0000 0.0000
0.0000 1.8899 6.2330
0.0000 -1.8899 6.2330
Sc Cu Te
1 1 2
Cartesian
0.0000 0.0000 0.0000 Sc
1.9105 0.0000 2.4413 Cu
0.0000 0.0000 8.4336 Te
1.9105 0.0000 5.0737 Te
```

=====

2.
VASP calculation (PBEsol) on a relaxed structure of Sc2CuTe.

Summary:
E_tot, eV per atom: -5.81
ρ, g/cm3: 5.43
D(E_F), states/eV/cell: 3.70
Symmetry: R-3m

Structure (POSCAR):
```
Sc2CuTe
1.0
1.9169 1.1067 6.7569
-1.9169 1.1067 6.7569
0.0000 -2.2135 6.7569
Sc Cu Te
2 1 1
Cartesian
0.0000 0.0000 4.8835 Sc
0.0000 0.0000 15.3871 Sc
0.0000 0.0000 10.1353 Cu
0.0000 0.0000 0.0000 Te
```

=====

3.
VASP calculation (PBEsol) on a relaxed structure of Sc2CuTe.

Summary:
E_tot, eV per atom: -5.81
ρ, g/cm3: 5.96
D(E_F), states/eV/cell: 3.94
Symmetry: P4/mmm

Structure (POSCAR):
```
Sc2CuTe
1.0
3.5815 0.0000 0.0000
0.0000 3.5815 0.0000
0.0000 0.0000 6.1046
Sc Cu Te
2 1 1
Cartesian
0.0000 0.0000 1.4412 Sc
0.0000 0.0000 4.6634 Sc
1.7908 1.7908 0.0000 Cu
1.7908 1.7908 3.0523 Te
```